# Rb2CeAgI6 (GGA-PBEsol, relaxed)
data_Rb2CeAgI6
_chemical_formula_sum 'Rb8 Ce4 Ag4 I24'
_space_group_name_H-M_alt 'F m -3 m'
_space_group_IT_number 225
_space_group_name_Hall '-F 4 2 3'
_cell_length_a 12.004
_cell_length_b 12.004
_cell_length_c 12.004
_cell_angle_alpha 90.00
_cell_angle_beta 90.00
_cell_angle_gamma 90.00
loop_
_atom_site_label
_atom_site_type_symbol
_atom_site_fract_x
_atom_site_fract_y
_atom_site_fract_z
Rb1 Rb 0.250 0.250 0.250
Ce1 Ce 0.000 0.000 0.000
Ag1 Ag 0.000 0.000 0.500
I1 I 0.000 0.000 0.256
# * energy: -3.350 eV/atom
# * formation energy from raw total energies: -1.09 eV per atom

# YAuCl (GGA-PBEsol, relaxed)
data_YAuCl
_chemical_formula_sum 'Y1 Au1 Cl1'
_space_group_name_H-M_alt 'P 3 m 1'
_space_group_IT_number 156
_cell_length_a 3.7825
_cell_length_b 3.7825
_cell_length_c 6.3808
_cell_angle_alpha 90.00
_cell_angle_beta 90.00
_cell_angle_gamma 120.00
loop_
_space_group_symop_operation_xyz
'x,y,z'
'-y,x-y,z'
'-x+y,-x,z'
'-y,-x,z'
'-x+y,y,z'
'x,x-y,z'
loop_
_atom_site_label
_atom_site_type_symbol
_atom_site_fract_x
_atom_site_fract_y
_atom_site_fract_z
Y1 Y 0.0000 0.0000 0.0000
Au1 Au 0.3333 0.6667 0.7271
Cl1 Cl 0.6667 0.3333 0.2648
# * energy: -5.286 eV/atom
# * excess energy over the best structure of this formula in the dataset: 0.0 kJ per mole of atoms
# * formation energy from raw total energies: -1.03 eV per atom

# Sr5Ti2N6 (GGA-PBEsol, relaxed)
data_Sr5Ti2N6
_chemical_formula_sum 'Sr20 Ti8 N24'
_space_group_name_H-M_alt 'C 1 2/c 1'
_space_group_IT_number 15
_cell_length_a 10.529
_cell_length_b 6.804
_cell_length_c 13.481
_cell_angle_alpha 90.00
_cell_angle_beta 102.16
_cell_angle_gamma 90.00
loop_
_space_group_symop_operation_xyz
'x,y,z'
'-x,-y,-z'
'-x,y,-z+1/2'
'x,-y,z+1/2'
'x+1/2,y+1/2,z'
'-x+1/2,-y+1/2,-z'
'-x+1/2,y+1/2,-z+1/2'
'x+1/2,-y+1/2,z+1/2'
loop_
_atom_site_label
_atom_site_type_symbol
_atom_site_fract_x
_atom_site_fract_y
_atom_site_fract_z
Sr1 Sr 0.000 0.147 0.250
Sr2 Sr 0.038 0.238 0.002
Sr3 Sr 0.157 0.375 0.722
Ti1 Ti 0.224 0.393 0.429
N1 N 0.054 0.487 0.376
N2 N 0.147 0.023 0.644
N3 N 0.211 0.108 0.425
# * energy: -7.098 eV/atom
# * formation energy from raw total energies: -1.17 eV per atom